Li2TcAg | PBEsol | optimized geometry

Density of states at the Fermi level in states/eV per atom: 0.575
ΔE to the lowest computed polymorph in eV per atom: 0.0000
Uncorrected energy in eV per atom: -4.303
Magnetization in μB per cell: 0.680
Formation enthalpy at 0 K in meV per atom: 325

Unit cell a=2.532 b=4.361 c=5.372 alpha=90.00 beta=90.00 gamma=90.00
Space group Pmm2 (No. 25)
One atom of each set of equivalent atoms:
Li1 0.000 0.000 0.000 (multiplicity 1)
Li2 0.500 0.500 0.244 (multiplicity 1)
Tc1 0.000 0.000 0.506 (multiplicity 1)
Ag1 0.500 0.500 0.730 (multiplicity 1)